LiAu2Br, relaxed, DFT GGA-PBE; formation energy (no corrections) = -0.46 eV per atom; energy above the lowest structure with this stoichiometry = 0.0 meV per atom; mass density = 8.29 g/cm3; calculated total energy = -3.00 eV/atom
1.0
-6.0008 -4.1361 0.3083
-3.1692 -6.5125 0.8693
0.2646 1.1505 3.5374
Au Br Li
2 1 1
direct
0.0185 0.0185 0.0137
0.4815 0.4815 0.4863
0.2500 0.2500 0.2500
0.7500 0.7500 0.7500



Er2CuCl, relaxed, DFT GGA-PBE; formation energy (no corrections) = -0.68 eV per atom; mass density = 7.59 g/cm3; calculated total energy = -4.45 eV/atom
1.0
-0.8371 2.6974 -2.6024
-1.0103 -1.0170 -3.5629
-7.7432 0.3547 0.0245
Er Cu Cl
2 1 1
direct
0.0715 0.0715 0.7854
0.2631 0.2631 0.2107
0.6678 0.6678 0.9966
0.4976 0.4976 0.5073



Er2PuPb9, relaxed, DFT GGA-PBE; calculated formation energy = -0.219 eV per atom; mass density = 11.75 g/cm3; calculated total energy = -4.96 eV/atom
1.0
-3.9395 -2.8174 -0.5069
2.8347 -3.9595 -0.0232
-1.1921 -0.9384 14.4808
Er Pu Pb
2 1 9
direct
0.0000 0.0000 0.3295
0.0000 0.0000 0.6705
0.0000 0.0000 0.0000
0.5000 0.5000 0.0000
0.5000 0.5000 0.3335
0.5000 0.5000 0.6665
0.5000 0.0000 0.1668
0.5000 0.0000 0.5000
0.5000 0.0000 0.8332
0.0000 0.5000 0.1669
0.0000 0.5000 0.5000
0.0000 0.5000 0.8331



TlW, relaxed, DFT GGA-PBE; calculated formation energy = 1.638 eV per atom; energy above the lowest structure with this stoichiometry = 1013.8 meV per atom; mass density = 13.79 g/cm3; calculated total energy = -6.02 eV/atom
1.0
-1.0072 -3.1221 -4.7396
5.6684 -0.7932 -0.6821
-0.2760 -4.6668 3.1328
Tl W
4 4
direct
0.1818 0.1818 0.0000
0.6818 0.3182 0.5000
0.3182 0.6818 0.5000
0.8182 0.8182 0.0000
0.3544 0.6456 0.0000
0.8544 0.8544 0.5000
0.1456 0.1456 0.5000
0.6456 0.3544 0.0000



Mn2CdCl, relaxed, DFT GGA-PBE; formation energy (no corrections) = 0.52 eV per atom; energy above the lowest structure with this stoichiometry = 516.8 meV per atom; mass density = 5.85 g/cm3; calculated total energy = -4.75 eV/atom
1.0
0.2620 0.8693 4.6058
-1.6840 4.0269 1.7282
-3.8972 -0.0166 2.6172
Cl Mn Cd
1 2 1
direct
0.0000 0.0000 0.0000
0.2500 0.2500 0.2500
0.7500 0.7500 0.7500
0.5000 0.5000 0.5000



ErTm2Co2, relaxed, DFT GGA-PBE; calculated formation energy = -0.212 eV per atom; energy above the lowest structure with this stoichiometry = 0.0 meV per atom; mass density = 9.67 g/cm3; calculated total energy = -5.76 eV/atom
1.0
5.6632 0.0000 0.0000
-2.8316 5.3162 0.3222
0.0000 -1.9430 6.9919
Er Tm Co
2 4 4
direct
0.9031 0.0000 0.2500
0.0969 0.0000 0.7500
0.5404 0.3192 0.1516
0.2211 0.6808 0.3484
0.4596 0.6808 0.8484
0.7789 0.3192 0.6516
0.6944 0.6719 0.4881
0.0225 0.3281 0.0119
0.3056 0.3281 0.5119
0.9775 0.6719 0.9881



BaV2Co2, relaxed, DFT GGA-PBE; calculated formation energy = 0.269 eV per atom; mass density = 6.11 g/cm3; calculated total energy = -6.61 eV/atom
1.0
-3.6066 0.9500 1.6322
-1.7658 -2.9444 -2.1879
-1.7219 -4.8059 4.0695
Co Ba V
2 1 2
direct
0.3464 0.3464 0.3071
0.6536 0.6536 0.6929
0.0000 0.0000 0.0000
0.7500 0.2500 0.5000
0.2500 0.7500 0.5000



CaNd2Th, relaxed, DFT GGA-PBE; calculated formation energy = 0.034 eV per atom; energy above the lowest structure with this stoichiometry = 0.0 meV per atom; mass density = 6.47 g/cm3; calculated total energy = -4.70 eV/atom
1.0
-2.6986 2.1894 -1.2256
-1.8733 -0.5606 3.1233
4.7979 8.3652 4.3791
Ca Nd Th
1 2 1
direct
0.5000 0.5000 0.5000
0.0000 0.0000 0.7733
0.0000 0.0000 0.2267
0.5000 0.5000 0.0000



- Among the records above, which one has the lowest calculated total energy?
  BaV2Co2